# 1
Crystalline RbBaSr2Ge at its relaxed geometry, computed with PBE.

Lattice parameters (Å, degrees): 6.3500 6.3500 6.7095 90.00 90.00 90.00
Closest atoms and distances in Å follow each position.
Atoms (fractional coordinates):
Rb (0.0000, 0.0000, 0.0000)  4 Ba 4.49, 8 Sr 4.62
Ba (0.5000, 0.5000, 0.0000)  2 Ge 3.35
Sr (0.0000, 0.5000, 0.5000)  2 Ge 3.18
Sr (0.5000, 0.0000, 0.5000)  2 Ge 3.18
Ge (0.5000, 0.5000, 0.5000)  4 Sr 3.18, 2 Ba 3.35

## Properties
**ΔE_f**: -0.868 eV/f.u.
**Total moment**: 0.50 μB per cell

# 2
Crystalline RbBa2SrGe at its relaxed geometry, computed with PBE.

Lattice parameters (Å, degrees): 6.7101 6.7101 6.3503 90.00 90.00 90.00
Closest atoms and distances in Å follow each position.
Atoms (fractional coordinates):
Rb (0.0000, 0.0000, 0.0000)  8 Ba 4.62, 4 Sr 4.74
Ba (0.0000, 0.5000, 0.5000)  2 Ge 3.36
Ba (0.5000, 0.0000, 0.5000)  2 Ge 3.36
Sr (0.5000, 0.5000, 0.0000)  2 Ge 3.18
Ge (0.5000, 0.5000, 0.5000)  2 Sr 3.18, 4 Ba 3.36

## Properties
**ΔE_f**: -0.840 eV/f.u.
**Total moment**: 0.31 μB per cell

# 3
Crystalline RbBaZn2Ge at its relaxed geometry, computed with PBE.

Lattice parameters (Å, degrees): 5.3256 5.3256 6.2183 90.00 90.00 90.00
Closest atoms and distances in Å follow each position.
Atoms (fractional coordinates):
Rb (0.0000, 0.0000, 0.0000)  4 Ba 3.77, 8 Zn 4.09
Ba (0.5000, 0.5000, 0.0000)  2 Ge 3.11
Zn (0.0000, 0.5000, 0.5000)  2 Ge 2.66
Zn (0.5000, 0.0000, 0.5000)  2 Ge 2.66
Ge (0.5000, 0.5000, 0.5000)  4 Zn 2.66

## Properties
**ΔE_f**: 1.002 eV/f.u.
**Total moment**: 0.00 μB per cell

# 4
Crystalline BaRe3Ge at its relaxed geometry, computed with PBE.

Lattice parameters (Å, degrees): 5.0515 5.0515 5.0515 90.00 90.00 90.00
Closest atoms and distances in Å follow each position.
Atoms (fractional coordinates):
Ba (0.0000, 0.0000, 0.0000)  6 Re 2.53
Re (0.0000, 0.0000, 0.5000)  2 Ba 2.53
Re (0.0000, 0.5000, 0.0000)  2 Ba 2.53
Re (0.5000, 0.0000, 0.0000)  2 Ba 2.53
Ge (0.5000, 0.5000, 0.5000)  12 Re 3.57

## Properties
**ΔE_f**: 19.524 eV/f.u.
**Total moment**: 3.80 μB per cell
**Energy above the most stable polymorph in this dataset**: 2269 meV per atom

# 5
Crystalline BaRe3Ge at its relaxed geometry, computed with PBE.

Lattice parameters (Å, degrees): 4.7939 4.7939 4.7939 90.00 90.00 90.00
Closest atoms and distances in Å follow each position.
Atoms (fractional coordinates):
Ba (0.0000, 0.0000, 0.0000)  12 Re 3.39
Re (0.0000, 0.5000, 0.5000)  2 Ge 2.40
Re (0.5000, 0.0000, 0.5000)  2 Ge 2.40
Re (0.5000, 0.5000, 0.0000)  2 Ge 2.40
Ge (0.5000, 0.5000, 0.5000)  6 Re 2.40

## Properties
**ΔE_f**: 8.177 eV/f.u.
**Total moment**: 3.51 μB per cell
**Energy above the most stable polymorph in this dataset**: 0 meV per atom

# 6
Crystalline BaRe2Ge at its relaxed geometry, computed with PBE.

Lattice parameters (Å, degrees): 9.5585 9.5585 9.5585 150.51 150.51 42.19
Closest atoms and distances in Å follow each position.
Atoms (fractional coordinates):
Ba (0.0000, 0.0000, 0.0000)  8 Re 3.37-3.67, 4 Ge 3.44
Ba (0.7500, 0.2500, 0.5000)  8 Re 3.37-3.67, 4 Ge 3.44
Re (0.3306, 0.1250, 0.7056)  2 Re 2.47, 2 Ge 2.55
Re (0.3750, 0.6694, 0.7944)  2 Re 2.47, 2 Ge 2.55
Re (0.4194, 0.6250, 0.2944)  2 Re 2.47, 2 Ge 2.55
Re (0.8750, 0.5806, 0.2056)  2 Re 2.47, 2 Ge 2.55
Ge (0.2500, 0.7500, 0.5000)  4 Re 2.55
Ge (0.5000, 0.5000, 0.0000)  4 Re 2.55

## Properties
**ΔE_f**: 2.987 eV/f.u.
**Total moment**: 0.82 μB per cell

# 7
Crystalline BaReGe2 at its relaxed geometry, computed with PBE.

Lattice parameters (Å, degrees): 8.6177 8.6177 8.6177 141.81 141.81 55.12
Closest atoms and distances in Å follow each position.
Atoms (fractional coordinates):
Ba (0.3750, 0.6250, 0.7500)  8 Ge 3.69, 4 Re 3.99
Ba (0.6250, 0.3750, 0.2500)  8 Ge 3.69, 4 Re 3.99
Re (0.1250, 0.8750, 0.2500)  4 Ge 2.37
Re (0.8750, 0.1250, 0.7500)  4 Ge 2.37
Ge (0.0000, 0.0000, 0.0000)  2 Re 2.37
Ge (0.0000, 0.0000, 0.5000)  2 Re 2.37
Ge (0.0000, 0.5000, 0.0000)  2 Re 2.37
Ge (0.5000, 0.0000, 0.5000)  2 Re 2.37

## Properties
**ΔE_f**: -0.197 eV/f.u.
**Total moment**: 0.00 μB per cell
**Energy above the most stable polymorph in this dataset**: 0 meV per atom

# 8
Crystalline BaReGe2 at its relaxed geometry, computed with PBE.

Lattice parameters (Å, degrees): 4.9320 4.9320 4.9320 60.00 60.00 60.00
Closest atoms and distances in Å follow each position.
Atoms (fractional coordinates):
Ba (0.0000, 0.0000, 0.0000)  8 Ge 3.02
Re (0.5000, 0.5000, 0.5000)  8 Ge 3.02
Ge (0.2500, 0.2500, 0.2500)  4 Re 3.02, 4 Ba 3.02
Ge (0.7500, 0.7500, 0.7500)  4 Re 3.02, 4 Ba 3.02

## Properties
**ΔE_f**: 2.453 eV/f.u.
**Total moment**: 0.70 μB per cell
**Energy above the most stable polymorph in this dataset**: 662 meV per atom

# 9
Crystalline BaReGeS2 at its relaxed geometry, computed with PBE.

Lattice parameters (Å, degrees): 5.6403 5.6403 6.2392 90.00 90.00 90.00
Closest atoms and distances in Å follow each position.
Atoms (fractional coordinates):
Ba (0.0000, 0.0000, 0.0000)  4 S 2.82, 2 Re 3.12
Re (0.0000, 0.0000, 0.5000)  2 Ba 3.12
Ge (0.5000, 0.5000, 0.5000)  4 Re 3.99, 8 S 4.21
S (0.0000, 0.5000, 0.0000)  2 Ba 2.82
S (0.5000, 0.0000, 0.0000)  2 Ba 2.82

## Properties
**Total moment**: 4.64 μB per cell
**Formation energy without anion corrections**: 1.757 eV/atom

# 10
Crystalline BaReGe2Te at its relaxed geometry, computed with PBE.

Lattice parameters (Å, degrees): 5.7882 5.7882 5.3839 90.00 90.00 90.00
Closest atoms and distances in Å follow each position.
Atoms (fractional coordinates):
Ba (0.0000, 0.0000, 0.0000)  2 Re 2.69, 4 Ge 2.89
Re (0.0000, 0.0000, 0.5000)  2 Ba 2.69
Ge (0.0000, 0.5000, 0.0000)  2 Ba 2.89
Ge (0.5000, 0.0000, 0.0000)  2 Ba 2.89
Te (0.5000, 0.5000, 0.5000)  8 Ge 3.95, 4 Re 4.09

## Properties
**Total moment**: 2.55 μB per cell
**Formation energy without anion corrections**: 2.128 eV/atom

# 11
Crystalline BaTlRe2Ge at its relaxed geometry, computed with PBE.

Lattice parameters (Å, degrees): 4.8373 4.8373 5.5402 90.00 90.00 90.00
Closest atoms and distances in Å follow each position.
Atoms (fractional coordinates):
Ba (0.0000, 0.0000, 0.0000)  4 Tl 3.42, 8 Re 3.68
Tl (0.5000, 0.5000, 0.0000)  2 Ge 2.77
Re (0.0000, 0.5000, 0.5000)  2 Ge 2.42
Re (0.5000, 0.0000, 0.5000)  2 Ge 2.42
Ge (0.5000, 0.5000, 0.5000)  4 Re 2.42

## Properties
**ΔE_f**: 6.033 eV/f.u.
**Total moment**: 2.79 μB per cell

# 12
Crystalline BaZnReGe2 at its relaxed geometry, computed with PBE.

Lattice parameters (Å, degrees): 4.8623 4.8623 5.0373 90.00 90.00 90.00
Closest atoms and distances in Å follow each position.
Atoms (fractional coordinates):
Ba (0.0000, 0.0000, 0.0000)  4 Zn 3.44, 8 Ge 3.50
Zn (0.5000, 0.5000, 0.0000)  2 Re 2.52
Re (0.5000, 0.5000, 0.5000)  4 Ge 2.43, 2 Zn 2.52
Ge (0.0000, 0.5000, 0.5000)  2 Re 2.43
Ge (0.5000, 0.0000, 0.5000)  2 Re 2.43

## Properties
**ΔE_f**: -1.016 eV/f.u.
**Total moment**: 0.00 μB per cell